Density functional theory data (GGA-PBE) for an optimized crystal structure of BeCrFeOs2.

For the formation energy, the calculation gives 1.676 eV/atom. As for the total energy: -7.178 eV/atom. For the size of the total moment, the calculation gives 2.2 μB/cell.

It has space group P4/mmm (No. 123), with a = 4.433 Å, b = 4.433 Å, c = 4.149 Å, α = 90.00°, β = 90.00° and γ = 90.00°. Symmetry generates all atoms from Be at (0.000, 0.000, 0.000), Cr at (0.500, 0.500, 0.500), Fe at (0.500, 0.500, 0.000) and Os at (0.000, 0.500, 0.500).



Density functional theory data (GGA-PBE) for an optimized crystal structure of BeCrFeP.

For the formation energy, the calculation gives -0.224 eV/atom. As for the total energy: -7.030 eV/atom. For the size of the total moment, the calculation gives 9.8 μB/cell.

It has space group F-43m (No. 216), with a = 5.439 Å, b = 5.439 Å, c = 5.439 Å, α = 90.00°, β = 90.00° and γ = 90.00°. Symmetry generates all atoms from Be at (0.000, 0.000, 0.000), Cr at (0.250, 0.250, 0.750), Fe at (0.250, 0.250, 0.250) and P at (0.000, 0.000, 0.500).



Density functional theory data (GGA-PBE) for an optimized crystal structure of BeCr2FeP.

For the formation energy, the calculation gives 0.873 eV/atom. As for the total energy: -6.496 eV/atom. For the size of the total moment, the calculation gives 3.2 μB/cell.

It has space group P4/mmm (No. 123), with a = 3.987 Å, b = 3.987 Å, c = 3.719 Å, α = 90.00°, β = 90.00° and γ = 90.00°. Symmetry generates all atoms from Be at (0.000, 0.000, 0.000), Cr at (0.000, 0.500, 0.000), Fe at (0.500, 0.500, 0.500) and P at (0.000, 0.000, 0.500).



Density functional theory data (GGA-PBE) for an optimized crystal structure of BeCrFeRe.

For the formation energy, the calculation gives 0.061 eV/atom. As for the total energy: -8.504 eV/atom. For the size of the total moment, the calculation gives 3.8 μB/cell.

It has space group F-43m (No. 216), with a = 5.704 Å, b = 5.704 Å, c = 5.704 Å, α = 90.00°, β = 90.00° and γ = 90.00°. Symmetry generates all atoms from Be at (0.000, 0.000, 0.000), Cr at (0.250, 0.250, 0.250), Fe at (0.250, 0.250, 0.750) and Re at (0.000, 0.000, 0.500).



Density functional theory data (GGA-PBE) for an optimized crystal structure of Be2CrFe5Re2.

For the formation energy, the calculation gives 0.015 eV/atom. As for the total energy: -8.414 eV/atom. For the size of the total moment, the calculation gives 1.4 μB/cell.

It has space group P4/mbm (No. 127), with a = 8.678 Å, b = 8.678 Å, c = 2.827 Å, α = 90.00°, β = 90.00° and γ = 90.00°. Symmetry generates all atoms from Be at (0.124, 0.376, 0.000), Cr at (0.000, 0.000, 0.000), Fe at (0.000, 0.500, 0.500), Fe at (0.059, 0.202, 0.500) and Re at (0.177, 0.677, 0.000).



Density functional theory data (GGA-PBE) for an optimized crystal structure of Be2CrFeRu.

For the formation energy, the calculation gives 1.086 eV/atom. As for the total energy: -5.877 eV/atom. For the size of the total moment, the calculation gives 0.1 μB/cell.

It has space group P4/mmm (No. 123), with a = 3.868 Å, b = 3.868 Å, c = 4.336 Å, α = 90.00°, β = 90.00° and γ = 90.00°. Symmetry generates all atoms from Be at (0.000, 0.500, 0.000), Cr at (0.000, 0.000, 0.500), Fe at (0.500, 0.500, 0.000) and Ru at (0.500, 0.500, 0.500).



Density functional theory data (GGA-PBE) for an optimized crystal structure of Sc2Be2CrFe5.

For the formation energy, the calculation gives -0.075 eV/atom. As for the total energy: -7.281 eV/atom. For the size of the total moment, the calculation gives 8.1 μB/cell.

It has space group P4/mbm (No. 127), with a = 8.914 Å, b = 8.914 Å, c = 3.021 Å, α = 90.00°, β = 90.00° and γ = 90.00°. Symmetry generates all atoms from Sc at (0.171, 0.329, 0.000), Be at (0.123, 0.623, 0.000), Cr at (0.000, 0.000, 0.000), Fe at (0.000, 0.500, 0.500) and Fe at (0.065, 0.799, 0.500).



Density functional theory data (GGA-PBE) for an optimized crystal structure of Be2CrFeSe.

The calculation puts the formation energy (no corrections) at 1.13 eV/atom. As for the total energy: -4.671 eV/atom. For the size of the total moment, the calculation gives 5.9 μB/cell.

It has space group P4/mmm (No. 123), with a = 4.166 Å, b = 4.166 Å, c = 4.580 Å, α = 90.00°, β = 90.00° and γ = 90.00°. Symmetry generates all atoms from Be at (0.000, 0.500, 0.000), Cr at (0.000, 0.000, 0.500), Fe at (0.500, 0.500, 0.500) and Se at (0.000, 0.000, 0.000).



Density functional theory data (GGA-PBE) for an optimized crystal structure of BeCrFeSi2.

The calculation puts the formation energy (no corrections) at 0.84 eV/atom. As for the total energy: -5.696 eV/atom. For the size of the total moment, the calculation gives 3.5 μB/cell.

It has space group P4/mmm (No. 123), with a = 4.333 Å, b = 4.333 Å, c = 4.113 Å, α = 90.00°, β = 90.00° and γ = 90.00°. Symmetry generates all atoms from Be at (0.000, 0.000, 0.000), Cr at (0.000, 0.000, 0.500), Fe at (0.500, 0.500, 0.000) and Si at (0.000, 0.500, 0.500).



Density functional theory data (GGA-PBE) for an optimized crystal structure of Ta2BeCrFe.

For the formation energy, the calculation gives 1.067 eV/atom. As for the total energy: -8.037 eV/atom. For the size of the total moment, the calculation gives 0.0 μB/cell.

It has space group P4/mmm (No. 123), with a = 4.575 Å, b = 4.575 Å, c = 4.077 Å, α = 90.00°, β = 90.00° and γ = 90.00°. Symmetry generates all atoms from Ta at (0.000, 0.500, 0.000), Be at (0.000, 0.000, 0.500), Cr at (0.500, 0.500, 0.500) and Fe at (0.500, 0.500, 0.000).



Density functional theory data (GGA-PBE) for an optimized crystal structure of Be2CrFe5Tc2.

For the formation energy, the calculation gives 0.041 eV/atom. As for the total energy: -7.972 eV/atom. For the size of the total moment, the calculation gives 3.0 μB/cell.

It has space group P4/mbm (No. 127), with a = 8.650 Å, b = 8.650 Å, c = 2.853 Å, α = 90.00°, β = 90.00° and γ = 90.00°. Symmetry generates all atoms from Be at (0.125, 0.375, 0.000), Cr at (0.000, 0.000, 0.000), Fe at (0.000, 0.500, 0.500), Fe at (0.060, 0.203, 0.500) and Tc at (0.177, 0.677, 0.000).



Density functional theory data (GGA-PBE) for an optimized crystal structure of Ti2BeCrFe.

For the formation energy, the calculation gives 0.899 eV/atom. As for the total energy: -6.621 eV/atom. For the size of the total moment, the calculation gives 0.6 μB/cell.

It has space group P4/mmm (No. 123), with a = 4.469 Å, b = 4.469 Å, c = 4.085 Å, α = 90.00°, β = 90.00° and γ = 90.00°. Symmetry generates all atoms from Ti at (0.000, 0.500, 0.000), Be at (0.000, 0.000, 0.500), Cr at (0.500, 0.500, 0.000) and Fe at (0.500, 0.500, 0.500).



Which of these has the lowest size of the total moment? Ta2BeCrFe



Which value of size of the total moment does entry 7 give? 8.1 μB/cell



Number 10 is which compound? Ta2BeCrFe



The lowest size of the total moment belongs to which entry? Ta2BeCrFe